# Hf2FeBi

Hf2FeBi after structural relaxation (PBE, Alexandria via LeMat-Bulk).

Computed properties:
D(E_F): 2.52 states/eV/f.u.
Crystal system: trigonal
V: 21.6 Å³ per atom
Energy: -8.059 eV per atom

Cell: 3.5256 3.5256 24.1218 Å, 90.00 90.00 120.00°
With the nearest neighbours (Å) after each atom.
Space group R-3m (No. 166, hexagonal axes)
Asymmetric unit:
Hf  0.0000  0.0000  0.2267 (multiplicity 6)  3 Fe 2.50
Fe  0.0000  0.0000  0.5000 (multiplicity 3)  6 Hf 2.50
Bi  0.0000  0.0000  0.0000 (multiplicity 3)  6 Hf 3.28, 6 Bi 3.53